1.
A plane-wave DFT calculation with PBE was carried out for RbHf2BrF after structural relaxation.

a b c (Å): 4.9827 4.9827 6.8094
angles (deg): 90.00 90.00 90.00
Space group P4/mmm (No. 123)
Inequivalent atoms, fractional coordinates:
1 Rb 0.0000 0.0000 0.0000 x1
2 Hf 0.0000 0.5000 0.5000 x2
3 Br 0.5000 0.5000 0.5000 x1
4 F 0.5000 0.5000 0.0000 x1

Summary:
* uncorrected formation energy: 252 meV per atom

---

2.
A plane-wave DFT calculation with PBE was carried out for Rb2HfBr2F4 after structural relaxation.

a b c (Å): 7.0947 7.0947 9.3329
angles (deg): 90.00 90.00 90.00
Space group I4/mmm (No. 139)
Inequivalent atoms, fractional coordinates:
1 Rb 0.0000 0.5000 0.2500 x4
2 Hf 0.0000 0.0000 0.0000 x2
3 Br 0.0000 0.0000 0.2853 x4
4 F 0.1984 0.1984 0.0000 x8

Summary:
* uncorrected formation energy: -2830 meV per atom

---

3.
A plane-wave DFT calculation with PBE was carried out for Rb2HfBr5F after structural relaxation.

a b c (Å): 7.7846 7.7846 10.4811
angles (deg): 90.00 90.00 90.00
Space group I4mm (No. 107)
Inequivalent atoms, fractional coordinates:
1 Rb 0.0000 0.5000 0.0000 x4
2 Hf 0.0000 0.0000 0.2525 x2
3 Br 0.0000 0.0000 0.9998 x2
4 Br 0.2398 0.2398 0.2502 x8
5 F 0.0000 0.0000 0.4375 x2

Summary:
* uncorrected formation energy: -1931 meV per atom

---

Values of spin magnetization, in order: 2.89; 0.00; 0.00, all in μB/f.u..